Below is a relaxed ZrGeAu crystal, with properties calculated at the GGA-PBE level.

VASP energy (eV per cell): -35.7
DFT formation energy (eV/atom): -0.477
DOS at the Fermi energy (states/eV per cell): 3.28
Volume (A^3/atom): 18.742
Total magnetic moment (μB/f.u.): 0.0

Lattice parameters (Å, degrees): 4.076 5.256 5.694 90.00 90.00 112.82
Positions (direct):
Au (0.500, 0.000, 0.000)
Au (0.500, 0.000, 0.500)
Zr (0.804, 0.607, 0.250)
Zr (0.196, 0.393, 0.750)
Ge (0.885, 0.771, 0.750)
Ge (0.115, 0.229, 0.250)